GGA+U BaCoF2, relaxed; total magnetization = 0.750 μB/atom; DOS(E_F) = 26.0 states/eV/cell; offset from the most stable computed form = 6.16 kcal/mol of atoms
1.0
6.771 0.000 0.000
0.000 6.771 0.000
0.000 0.000 6.771
Ba Co F
4 4 8
direct
0.000 0.000 0.000
0.000 0.500 0.500
0.500 0.000 0.500
0.500 0.500 0.000
0.000 0.000 0.500
0.000 0.500 0.000
0.500 0.000 0.000
0.500 0.500 0.500
0.250 0.250 0.250
0.250 0.250 0.750
0.250 0.750 0.250
0.250 0.750 0.750
0.750 0.250 0.250
0.750 0.250 0.750
0.750 0.750 0.250
0.750 0.750 0.750